Record 1
Material: TbScTe2
Method: DFT, PBE
State: optimized geometry

Calculated values
SG: No. 123
magnetization: 0.323 μB/atom
ΔE to the lowest computed polymorph: 17.9 kJ per mole of atoms
N(E_F): 2.3 states/eV/cell

Lattice parameters (Å, degrees): 5.2599 5.2599 3.7290 90.00 90.00 90.00
Fractional positions:
Tb 0.0000 0.0000 0.0000
Sc 0.5000 0.5000 0.0000
Te 0.0000 0.5000 0.5000
Te 0.5000 0.0000 0.5000

Record 2
Material: ThPaTaC3
Method: DFT, PBE
State: optimized geometry

Calculated values
calculated formation energy: -0.083 eV/atom
SG: No. 11
magnetization: 0.000 μB/atom
N(E_F): 7.9 states/eV/cell

Lattice parameters (Å, degrees): 7.4450 3.5121 8.3244 90.00 90.26 90.00
Fractional positions:
Th 0.1338 0.2500 0.3397
Th 0.8662 0.7500 0.6603
Pa 0.3877 0.7500 0.6583
Pa 0.6123 0.2500 0.3417
Ta 0.1350 0.2500 0.9249
Ta 0.8650 0.7500 0.0751
C 0.1459 0.7500 0.0689
C 0.1546 0.2500 0.6626
C 0.3917 0.7500 0.3900
C 0.6083 0.2500 0.6100
C 0.8454 0.7500 0.3374
C 0.8541 0.2500 0.9311